(1)
Computed, not measured: an optimized crystal structure of CsBaCu at the PBE level of DFT.

Properties
The space-group type is F-43m (216). The calculation puts the total energy at -4.49 eV per formula unit. The calculation puts the energy above the most stable polymorph in this dataset at 36.48 kJ per mole of atoms.

Cell lengths 5.592, 5.592, 5.592 Å; angles 60.00, 60.00, 60.00 degrees
Element x y z (fractional)
Cs: 0.000 0.000 0.000
Ba: 0.750 0.750 0.750
Cu: 0.250 0.250 0.250

(2)
Computed, not measured: an optimized crystal structure of LaTlCu2 at the PBE level of DFT.

Properties
The space-group type is F-43m (216). The calculation puts the total energy at -14.67 eV per formula unit. The calculation puts the magnetization at 0.0 μB per formula unit.

Cell lengths 4.967, 4.967, 4.967 Å; angles 60.00, 60.00, 60.00 degrees
Element x y z (fractional)
La: 0.000 0.000 0.000
Tl: 0.750 0.750 0.750
Cu: 0.250 0.250 0.250
Cu: 0.500 0.500 0.500

(3)
Computed, not measured: an optimized crystal structure of NaNpHg at the PBE level of DFT.

Properties
The space-group type is F-43m (216). The calculation puts the total energy at -11.65 eV per formula unit. The calculation puts the magnetization at 5.6 μB per formula unit.

Cell lengths 5.132, 5.132, 5.132 Å; angles 60.00, 60.00, 60.00 degrees
Element x y z (fractional)
Na: 0.000 0.000 0.000
Np: 0.750 0.750 0.750
Hg: 0.500 0.500 0.500

(4)
Computed, not measured: an optimized crystal structure of Sm2SeSF2 at the PBE level of DFT.

Properties
The space-group type is P4mm (99). The calculation puts the total energy at -38.40 eV per formula unit. The calculation puts the magnetization at 0.0 μB per formula unit.

Cell lengths 3.904, 3.904, 7.024 Å; angles 90.00, 90.00, 90.00 degrees
Element x y z (fractional)
Sm: 0.000 0.000 0.000
Sm: 0.500 0.500 0.446
Se: 0.000 0.000 0.583
S: 0.500 0.500 0.870
F: 0.000 0.500 0.222
F: 0.500 0.000 0.222

(5)
Computed, not measured: an optimized crystal structure of PrTcBi at the PBE level of DFT.

Properties
The space-group type is F-43m (216). The calculation puts the total energy at -16.34 eV per formula unit. The calculation puts the magnetization at 2.2 μB per formula unit. The calculation puts the energy above the most stable polymorph in this dataset at 48.41 kJ per mole of atoms.

Cell lengths 5.076, 5.076, 5.076 Å; angles 60.00, 60.00, 60.00 degrees
Element x y z (fractional)
Pr: 0.000 0.000 0.000
Tc: 0.250 0.250 0.250
Bi: 0.750 0.750 0.750

(6)
Computed, not measured: an optimized crystal structure of Pb2Au5O6 at the PBE level of DFT.

Properties
The space-group type is P-31m (162). The calculation puts the total energy at -57.22 eV per formula unit.

Cell lengths 6.037, 6.037, 6.450 Å; angles 90.00, 90.00, 120.00 degrees
Element x y z (fractional)
Pb: 0.333 0.667 0.000
Pb: 0.667 0.333 0.000
Au: 0.000 0.000 0.279
Au: 0.000 0.000 0.721
Au: 0.000 0.500 0.500
Au: 0.500 0.000 0.500
Au: 0.500 0.500 0.500
O: 0.000 0.378 0.804
O: 0.000 0.622 0.196
O: 0.378 0.000 0.804
O: 0.378 0.378 0.196
O: 0.622 0.000 0.196
O: 0.622 0.622 0.804

(7)
Computed, not measured: an optimized crystal structure of PaZnAs at the PBE level of DFT.

Properties
The space-group type is F-43m (216). The calculation puts the total energy at -15.60 eV per formula unit. The calculation puts the magnetization at 1.2 μB per formula unit.

Cell lengths 4.730, 4.730, 4.730 Å; angles 60.00, 60.00, 60.00 degrees
Element x y z (fractional)
Pa: 0.000 0.000 0.000
Zn: 0.250 0.250 0.250
As: 0.750 0.750 0.750

(8)
Computed, not measured: an optimized crystal structure of KTbHgTe3 at the PBE level of DFT.

Properties
The space-group type is P2_1/m (11). The calculation puts the total energy at -21.15 eV per formula unit. The calculation puts the magnetization at 0.0 μB per formula unit.

Cell lengths 9.278, 4.519, 11.024 Å; angles 90.00, 107.75, 90.00 degrees
Element x y z (fractional)
K: 0.231 0.250 0.268
K: 0.769 0.750 0.732
Tb: 0.322 0.750 0.863
Tb: 0.678 0.250 0.137
Hg: 0.086 0.250 0.616
Hg: 0.914 0.750 0.384
Te: 0.087 0.250 0.871
Te: 0.246 0.750 0.551
Te: 0.455 0.750 0.153
Te: 0.545 0.250 0.847
Te: 0.754 0.250 0.449
Te: 0.913 0.750 0.129